The following is a GGA-PBE calculation of a relaxed structure of CdPtNO, from OQMD.

## Properties
As for the symmetry: P4/nmm (129). The energy above the most stable polymorph in this dataset comes out at 88 kJ/mol of formula units.

Unit cell a=4.027 b=4.027 c=7.164 alpha=90.00 beta=90.00 gamma=90.00
Element x y z (fractional)
Cd: 0.250 0.250 0.122
Cd: 0.750 0.750 0.878
Pt: 0.250 0.750 0.500
Pt: 0.750 0.250 0.500
N: 0.250 0.250 0.597
N: 0.750 0.750 0.403
O: 0.250 0.750 0.000
O: 0.750 0.250 0.000

***

The following is a GGA-PBE calculation of a relaxed structure of YMg2Hg, from OQMD.

## Properties
As for the symmetry: F-43m (216).

Unit cell a=5.072 b=5.072 c=5.072 alpha=60.00 beta=60.00 gamma=60.00
Element x y z (fractional)
Y: 0.000 0.000 0.000
Mg: 0.250 0.250 0.250
Mg: 0.500 0.500 0.500
Hg: 0.750 0.750 0.750

***

The following is a GGA-PBE calculation of a relaxed structure of Mg2NbMo, from OQMD.

## Properties
As for the symmetry: F-43m (216).

Unit cell a=4.664 b=4.664 c=4.664 alpha=60.00 beta=60.00 gamma=60.00
Element x y z (fractional)
Mg: 0.000 0.000 0.000
Mg: 0.250 0.250 0.250
Nb: 0.500 0.500 0.500
Mo: 0.750 0.750 0.750

***

The following is a GGA-PBE calculation of a relaxed structure of Sm2Zr2O5, from OQMD.

## Properties
As for the symmetry: P4/mmm (123). The energy above the most stable polymorph in this dataset comes out at 0 kJ/mol of formula units.

Unit cell a=4.146 b=4.146 c=7.426 alpha=90.00 beta=90.00 gamma=90.00
Element x y z (fractional)
Sm: 0.000 0.000 0.000
Sm: 0.000 0.000 0.500
Zr: 0.500 0.500 0.217
Zr: 0.500 0.500 0.783
O: 0.000 0.500 0.258
O: 0.000 0.500 0.742
O: 0.500 0.000 0.258
O: 0.500 0.000 0.742
O: 0.500 0.500 0.500

***

The following is a GGA-PBE calculation of a relaxed structure of NaDyCoTe3, from OQMD.

## Properties
As for the symmetry: Cmcm (63). The energy above the most stable polymorph in this dataset comes out at 8 kJ/mol of formula units.

Unit cell a=7.769 b=7.769 c=11.117 alpha=90.00 beta=90.00 gamma=149.12
Element x y z (fractional)
Na: 0.243 0.757 0.750
Na: 0.757 0.243 0.250
Dy: 0.000 0.000 0.000
Dy: 0.000 0.000 0.500
Co: 0.479 0.521 0.250
Co: 0.521 0.479 0.750
Te: 0.084 0.916 0.250
Te: 0.364 0.636 0.077
Te: 0.364 0.636 0.423
Te: 0.636 0.364 0.577
Te: 0.636 0.364 0.923
Te: 0.916 0.084 0.750

***

The following is a GGA-PBE calculation of a relaxed structure of CdSiNOF, from OQMD.

## Properties
As for the symmetry: Pmm2 (25).

Unit cell a=2.967 b=3.596 c=5.060 alpha=90.00 beta=90.00 gamma=90.00
Element x y z (fractional)
Cd: 0.000 0.000 0.000
Si: 0.500 0.500 0.475
N: 0.000 0.500 0.298
O: 0.500 0.500 0.804
F: 0.500 0.000 0.499

***

The following is a GGA-PBE calculation of a relaxed structure of PmS2, from OQMD.

## Properties
As for the symmetry: Fm-3m (225). The energy above the most stable polymorph in this dataset comes out at 0 kJ/mol of formula units.

Unit cell a=4.727 b=4.727 c=4.727 alpha=60.00 beta=60.00 gamma=60.00
Element x y z (fractional)
Pm: 0.000 0.000 0.000
S: 0.250 0.250 0.250
S: 0.750 0.750 0.750

***

The following is a GGA-PBE calculation of a relaxed structure of Pm2Al3Ir, from OQMD.

## Properties
As for the symmetry: P6_3/mmc (194).

Unit cell a=5.653 b=5.653 c=8.759 alpha=90.00 beta=90.00 gamma=120.00
Element x y z (fractional)
Pm: 0.333 0.667 0.051
Pm: 0.333 0.667 0.449
Pm: 0.667 0.333 0.551
Pm: 0.667 0.333 0.949
Al: 0.160 0.321 0.750
Al: 0.160 0.840 0.750
Al: 0.321 0.160 0.250
Al: 0.679 0.840 0.750
Al: 0.840 0.160 0.250
Al: 0.840 0.679 0.250
Ir: 0.000 0.000 0.000
Ir: 0.000 0.000 0.500

***

The following is a GGA-PBE calculation of a relaxed structure of ErMg3Sn, from OQMD.

## Properties
As for the symmetry: R-3m (166).

Unit cell a=5.480 b=5.480 c=5.480 alpha=76.76 beta=76.76 gamma=76.76
Element x y z (fractional)
Er: 0.000 0.000 0.000
Mg: 0.000 0.500 0.500
Mg: 0.500 0.000 0.500
Mg: 0.500 0.500 0.000
Sn: 0.500 0.500 0.500

***

The following is a GGA-PBE calculation of a relaxed structure of DyB4Pt, from OQMD.

## Properties
As for the symmetry: Immm (71). The energy above the most stable polymorph in this dataset comes out at 0 kJ/mol of formula units.

Unit cell a=4.954 b=4.954 c=4.954 alpha=142.74 beta=115.80 gamma=76.64
Element x y z (fractional)
Dy: 0.000 0.000 0.000
B: 0.061 0.739 0.322
B: 0.416 0.739 0.678
B: 0.584 0.261 0.322
B: 0.939 0.261 0.678
Pt: 0.500 0.500 0.000

***

The following is a GGA-PBE calculation of a relaxed structure of LiCu5Pd2, from OQMD.

## Properties
As for the symmetry: Pbam (55).

Unit cell a=5.247 b=10.514 c=3.692 alpha=90.00 beta=90.00 gamma=90.00
Element x y z (fractional)
Li: 0.000 0.000 0.000
Li: 0.500 0.500 0.000
Cu: 0.000 0.500 0.000
Cu: 0.015 0.252 0.000
Cu: 0.234 0.629 0.500
Cu: 0.266 0.129 0.500
Cu: 0.485 0.752 0.000
Cu: 0.500 0.000 0.000
Cu: 0.515 0.248 0.000
Cu: 0.734 0.871 0.500
Cu: 0.766 0.371 0.500
Cu: 0.985 0.748 0.000
Pd: 0.235 0.879 0.500
Pd: 0.265 0.379 0.500
Pd: 0.735 0.621 0.500
Pd: 0.765 0.121 0.500

***

The following is a GGA-PBE calculation of a relaxed structure of HoNbPO, from OQMD.

## Properties
As for the symmetry: P4/nmm (129). The energy above the most stable polymorph in this dataset comes out at 0 kJ/mol of formula units.

Unit cell a=3.926 b=3.926 c=8.700 alpha=90.00 beta=90.00 gamma=90.00
Element x y z (fractional)
Ho: 0.250 0.250 0.124
Ho: 0.750 0.750 0.876
Nb: 0.250 0.750 0.500
Nb: 0.750 0.250 0.500
P: 0.250 0.250 0.692
P: 0.750 0.750 0.308
O: 0.250 0.750 0.000
O: 0.750 0.250 0.000

***

The following is a GGA-PBE calculation of a relaxed structure of PmAlB4, from OQMD.

## Properties
As for the symmetry: Immm (71). The energy above the most stable polymorph in this dataset comes out at 43 kJ/mol of formula units.

Unit cell a=5.076 b=5.076 c=5.076 alpha=142.92 beta=117.46 gamma=74.99
Element x y z (fractional)
Pm: 0.000 0.000 0.000
Al: 0.500 0.500 0.000
B: 0.069 0.741 0.327
B: 0.414 0.741 0.673
B: 0.586 0.259 0.327
B: 0.931 0.259 0.673

***

The following is a GGA-PBE calculation of a relaxed structure of HfCdCoAs, from OQMD.

## Properties
As for the symmetry: F-43m (216). The energy above the most stable polymorph in this dataset comes out at 34 kJ/mol of formula units.

Unit cell a=4.614 b=4.614 c=4.614 alpha=60.00 beta=60.00 gamma=60.00
Element x y z (fractional)
Hf: 0.000 0.000 0.000
Cd: 0.250 0.250 0.250
Co: 0.750 0.750 0.750
As: 0.500 0.500 0.500

***

The following is a GGA-PBE calculation of a relaxed structure of InAu7, from OQMD.

## Properties
As for the symmetry: Fm-3m (225). The energy above the most stable polymorph in this dataset comes out at 0 kJ/mol of formula units.

Unit cell a=5.935 b=5.935 c=5.935 alpha=60.00 beta=60.00 gamma=60.00
Element x y z (fractional)
In: 0.000 0.000 0.000
Au: 0.000 0.000 0.500
Au: 0.000 0.500 0.000
Au: 0.000 0.500 0.500
Au: 0.500 0.000 0.000
Au: 0.500 0.000 0.500
Au: 0.500 0.500 0.000
Au: 0.500 0.500 0.500

***

The following is a GGA-PBE calculation of a relaxed structure of NpSiTe, from OQMD.

## Properties
As for the symmetry: F-43m (216). The energy above the most stable polymorph in this dataset comes out at 8 kJ/mol of formula units.

Unit cell a=4.778 b=4.778 c=4.778 alpha=60.00 beta=60.00 gamma=60.00
Element x y z (fractional)
Np: 0.000 0.000 0.000
Si: 0.250 0.250 0.250
Te: 0.500 0.500 0.500

***

The following is a GGA-PBE calculation of a relaxed structure of Li4SnIrO6, from OQMD.

## Properties
As for the symmetry: C2 (5).

Unit cell a=5.252 b=5.252 c=5.121 alpha=99.79 beta=99.79 gamma=119.97
Element x y z (fractional)
Li: 0.000 0.000 0.000
Li: 0.164 0.836 0.500
Li: 0.484 0.516 0.500
Li: 0.846 0.154 0.500
Sn: 0.666 0.334 0.000
Ir: 0.333 0.667 0.000
O: 0.085 0.428 0.237
O: 0.262 0.270 0.760
O: 0.421 0.071 0.237
O: 0.572 0.915 0.763
O: 0.730 0.738 0.240
O: 0.929 0.579 0.763

***

The following is a GGA-PBE calculation of a relaxed structure of NaSrHf, from OQMD.

## Properties
As for the symmetry: F-43m (216). The energy above the most stable polymorph in this dataset comes out at 0 kJ/mol of formula units.

Unit cell a=5.559 b=5.559 c=5.559 alpha=60.00 beta=60.00 gamma=60.00
Element x y z (fractional)
Na: 0.000 0.000 0.000
Sr: 0.500 0.500 0.500
Hf: 0.250 0.250 0.250

***

The following is a GGA-PBE calculation of a relaxed structure of Tm4Pb2N, from OQMD.

## Properties
As for the symmetry: I4/mmm (139).

Unit cell a=8.564 b=8.564 c=8.564 alpha=148.36 beta=148.36 gamma=45.35
Element x y z (fractional)
Tm: 0.000 0.500 0.500
Tm: 0.155 0.155 0.000
Tm: 0.500 0.000 0.500
Tm: 0.845 0.845 0.000
Pb: 0.355 0.355 0.000
Pb: 0.645 0.645 0.000
N: 0.000 0.000 0.000

***

The following is a GGA-PBE calculation of a relaxed structure of CoCuHgBi, from OQMD.

## Properties
As for the symmetry: F-43m (216). The energy above the most stable polymorph in this dataset comes out at 0 kJ/mol of formula units.

Unit cell a=4.661 b=4.661 c=4.661 alpha=60.00 beta=60.00 gamma=60.00
Element x y z (fractional)
Co: 0.000 0.000 0.000
Cu: 0.500 0.500 0.500
Hg: 0.250 0.250 0.250
Bi: 0.750 0.750 0.750

***

The following is a GGA-PBE calculation of a relaxed structure of ErMg6Cu2, from OQMD.

## Properties
As for the symmetry: Fm-3m (225).

Unit cell a=6.943 b=6.943 c=6.943 alpha=60.00 beta=60.00 gamma=60.00
Element x y z (fractional)
Er: 0.000 0.000 0.000
Mg: 0.290 0.290 0.710
Mg: 0.290 0.710 0.290
Mg: 0.290 0.710 0.710
Mg: 0.710 0.290 0.290
Mg: 0.710 0.290 0.710
Mg: 0.710 0.710 0.290
Cu: 0.250 0.250 0.250
Cu: 0.750 0.750 0.750

***

The following is a GGA-PBE calculation of a relaxed structure of Nb3CdN2, from OQMD.

## Properties
As for the symmetry: P6_3/mmc (194).

Unit cell a=3.124 b=3.124 c=19.888 alpha=90.00 beta=90.00 gamma=120.00
Element x y z (fractional)
Nb: 0.000 0.000 0.000
Nb: 0.000 0.000 0.500
Nb: 0.333 0.667 0.126
Nb: 0.333 0.667 0.374
Nb: 0.667 0.333 0.626
Nb: 0.667 0.333 0.874
Cd: 0.000 0.000 0.250
Cd: 0.000 0.000 0.750
N: 0.333 0.667 0.565
N: 0.333 0.667 0.935
N: 0.667 0.333 0.065
N: 0.667 0.333 0.435

***

The following is a GGA-PBE calculation of a relaxed structure of Co15Bi, from OQMD.

## Properties
As for the symmetry: P2_1/m (11). The energy above the most stable polymorph in this dataset comes out at 83 kJ/mol of formula units.

Unit cell a=5.018 b=2.645 c=39.196 alpha=90.00 beta=90.00 gamma=90.00
Element x y z (fractional)
Co: 0.116 0.250 0.274
Co: 0.125 0.250 0.021
Co: 0.125 0.250 0.190
Co: 0.125 0.250 0.769
Co: 0.125 0.250 0.852
Co: 0.125 0.250 0.936
Co: 0.126 0.250 0.106
Co: 0.366 0.750 0.726
Co: 0.375 0.750 0.064
Co: 0.375 0.750 0.148
Co: 0.375 0.750 0.233
Co: 0.375 0.750 0.313
Co: 0.375 0.750 0.810
Co: 0.375 0.750 0.979
Co: 0.376 0.750 0.894
Co: 0.624 0.250 0.106
Co: 0.625 0.250 0.021
Co: 0.625 0.250 0.190
Co: 0.625 0.250 0.687
Co: 0.625 0.250 0.767
Co: 0.625 0.250 0.852
Co: 0.625 0.250 0.936
Co: 0.634 0.250 0.274
Co: 0.874 0.750 0.894
Co: 0.875 0.750 0.064
Co: 0.875 0.750 0.148
Co: 0.875 0.750 0.231
Co: 0.875 0.750 0.810
Co: 0.875 0.750 0.979
Co: 0.884 0.750 0.726
Bi: 0.125 0.250 0.664
Bi: 0.875 0.750 0.336

***

The following is a GGA-PBE calculation of a relaxed structure of AcAu, from OQMD.

## Properties
For the formation energy from the elements, the calculation gives -737 meV per atom. As for the symmetry: P-6m2 (187).

Unit cell a=4.192 b=4.192 c=4.232 alpha=90.00 beta=90.00 gamma=120.00
Element x y z (fractional)
Ac: 0.000 0.000 0.000
Au: 0.667 0.333 0.500

***

| no. | uncorrected energy (eV/f.u.) | V (Å³/atom) |
| --- | --- | --- |
| 1 | -18.741 | 14.523 |
| 2 | -10.971 | 23.070 |
| 3 | -22.628 | 17.940 |
| 4 | -75.352 | 14.182 |
| 5 | -26.973 | 28.699 |
| 6 | -28.412 | 10.798 |
| 7 | -17.237 | 24.902 |
| 8 | -33.739 | 20.200 |
| 9 | -11.406 | 30.637 |
| 10 | -38.499 | 10.798 |
| 11 | -32.165 | 12.729 |
| 12 | -32.971 | 16.759 |
| 13 | -35.975 | 11.416 |
| 14 | -21.764 | 17.368 |
| 15 | -26.109 | 18.475 |
| 16 | -20.721 | 25.711 |
| 17 | -69.564 | 9.591 |
| 18 | -8.732 | 40.483 |
| 19 | -39.567 | 24.609 |
| 20 | -13.383 | 17.901 |
| 21 | -14.100 | 26.291 |
| 22 | -51.520 | 14.008 |
| 23 | -107.864 | 16.258 |
| 24 | -8.847 | 32.204 |